Record 1
ZrFe2Te after structural relaxation, computed with PBE.

Lattice parameters (Å, degrees): 4.0611 4.0611 9.5930 77.78 77.78 90.00
Last column: magnetic moment on the atom in μB.
Element x y z (fractional)
Fe1 0.6809 0.1250 0.2500  2.31
Zr1 0.2500 0.7500 0.5000  -0.42
Te1 0.0000 0.0000 0.0000  0.00
Fe2 0.8750 0.9309 0.7500  2.34
Fe3 0.0691 0.6250 0.2500  2.34
Zr2 0.5000 0.5000 0.0000  -0.42
Fe4 0.3750 0.3191 0.7500  2.32
Te2 0.7500 0.2500 0.5000  0.00

Computed properties:
For the formation energy from raw total energies, the calculation gives 314.4 meV/atom. As for the space group: I-42d, No. 122.

Record 2
Zr2FeTe after structural relaxation, computed with PBE.

Lattice parameters (Å, degrees): 3.7873 3.7853 6.1037 90.00 90.00 90.00
Last column: magnetic moment on the atom in μB.
Element x y z (fractional)
Zr1 0.0000 0.0000 0.9956  -0.16
Te1 0.5000 0.5000 0.7963  0.01
Zr2 0.5000 0.5000 0.3194  -0.28
Fe1 0.0000 0.0000 0.3887  1.25

Computed properties:
For the formation energy from raw total energies, the calculation gives -168.0 meV/atom. As for the space group: P4mm, No. 99.

Record 3
ZrFe2Te after structural relaxation, computed with PBE.

Lattice parameters (Å, degrees): 5.9149 5.9149 5.9149 38.38 38.38 38.38
Last column: magnetic moment on the atom in μB.
Element x y z (fractional)
Te1 0.5260 0.5260 0.5260  0.00
Zr1 0.7277 0.7277 0.7277  -0.24
Fe1 0.3008 0.3008 0.3008  1.54
Fe2 0.9455 0.9455 0.9455  1.13

Computed properties:
For the formation energy from raw total energies, the calculation gives -42.4 meV/atom. As for the space group: R3m, No. 160.

Record 4
ZrFe2Te after structural relaxation, computed with PBE.

Lattice parameters (Å, degrees): 8.0265 8.0265 8.0265 23.44 23.44 23.44
Last column: magnetic moment on the atom in μB.
Element x y z (fractional)
Fe1 0.9992 0.9992 0.9992  1.96
Fe2 0.5008 0.5008 0.5008  1.96
Te1 0.2500 0.2500 0.2500  -0.06
Zr1 0.7500 0.7500 0.7500  -0.42

Computed properties:
For the formation energy from raw total energies, the calculation gives 348.7 meV/atom. As for the space group: R-3m, No. 166.

Record 5
Th4Fe after structural relaxation, computed with PBE.

Lattice parameters (Å, degrees): 5.3066 5.3066 5.3066 90.00 90.00 90.00
Element x y z (fractional)
Th1 0.5000 0.5000 0.0000
Th2 0.5000 0.0000 0.5000
Th3 0.0000 0.0000 0.0000
Fe1 0.5000 0.5000 0.5000
Th4 0.0000 0.5000 0.5000

Computed properties:
The value obtained for the total energy is -7.5180 eV per atom. As for the space group: Pm-3m, No. 221.

Record 6
ThFe3 after structural relaxation, computed with PBE.

Lattice parameters (Å, degrees): 5.1402 5.1402 16.6953 90.00 90.00 120.00
Last column: magnetic moment on the atom in μB.
Element x y z (fractional)
Th1 0.3333 0.6667 0.4617  -0.44
Fe1 0.0000 0.0000 0.7500  2.37
Fe2 0.1660 0.3321 0.8717  2.13
Th2 0.3333 0.6667 0.2500  -0.34
Fe3 0.6667 0.3333 0.2500  2.28
Th3 0.6667 0.3333 0.5383  -0.44
Fe4 0.1660 0.3321 0.6283  2.13
Fe5 0.3320 0.1660 0.1283  2.13
Fe6 0.3320 0.1660 0.3717  2.13
Th4 0.3333 0.6667 0.0383  -0.44
Th5 0.6667 0.3333 0.7500  -0.34
Fe7 0.8340 0.1660 0.3717  2.13
Fe8 0.8340 0.1660 0.1283  2.13
Fe9 0.1660 0.8340 0.8717  2.13
Fe10 0.1660 0.8340 0.6283  2.13
Fe11 0.6680 0.8340 0.8717  2.13
Fe12 0.0000 0.0000 0.2500  2.37
Fe13 0.8340 0.6679 0.1283  2.13
Fe14 0.8340 0.6679 0.3717  2.13
Fe15 0.0000 0.0000 0.5000  1.97
Fe16 0.6680 0.8340 0.6283  2.13
Fe17 0.3333 0.6667 0.7500  2.28
Fe18 0.0000 0.0000 0.0000  1.97
Th6 0.6667 0.3333 0.9617  -0.44

Computed properties:
The value obtained for the total energy is -8.2625 eV per atom. As for the space group: P6_3/mmc, No. 194.

Record 7
ThFe12 after structural relaxation, computed with PBE.

Lattice parameters (Å, degrees): 4.6709 6.4722 6.4722 82.52 68.85 68.85
Last column: magnetic moment on the atom in μB.
Element x y z (fractional)
Fe1 0.7316 0.7684 0.7684  2.30
Fe2 0.5000 0.7684 0.2316  2.30
Fe3 0.5000 0.0000 0.5000  1.89
Fe4 0.5000 0.5000 0.0000  1.89
Fe5 0.5000 0.2316 0.7684  2.30
Th1 0.0000 0.0000 0.0000  -0.36
Fe6 0.3601 0.6399 0.6399  2.51
Fe7 0.6399 0.3601 0.3601  2.51
Fe8 0.0000 0.3601 0.6399  2.51
Fe9 0.0000 0.0000 0.5000  1.89
Fe10 0.0000 0.6399 0.3601  2.51
Fe11 0.0000 0.5000 0.0000  1.89
Fe12 0.2684 0.2316 0.2316  2.30

Computed properties:
The value obtained for the total energy is -8.3977 eV per atom. As for the space group: I4/mmm, No. 139.

Record 8
ThFe3 after structural relaxation, computed with PBE.

Lattice parameters (Å, degrees): 8.8509 8.8509 8.8509 33.78 33.78 33.78
Last column: magnetic moment on the atom in μB.
Element x y z (fractional)
Fe1 0.5000 0.5000 0.5000  1.88
Fe2 0.4197 0.4197 0.9169  2.12
Th1 0.1411 0.1411 0.1411  -0.44
Th2 0.0000 0.0000 0.0000  -0.35
Th3 0.8589 0.8589 0.8589  -0.44
Fe3 0.4197 0.9169 0.4197  2.12
Fe4 0.9169 0.4197 0.4197  2.12
Fe5 0.5803 0.5803 0.0831  2.12
Fe6 0.3323 0.3323 0.3323  2.30
Fe7 0.0831 0.5803 0.5803  2.12
Fe8 0.6677 0.6677 0.6677  2.30
Fe9 0.5803 0.0831 0.5803  2.12

Computed properties:
The value obtained for the total energy is -8.2595 eV per atom. As for the space group: R-3m, No. 166.

Record 9
Th5Fe2 after structural relaxation, computed with PBE.

Lattice parameters (Å, degrees): 6.2971 6.9905 8.8956 94.47 110.73 90.00
Element x y z (fractional)
Fe1 0.5896 0.9068 0.7883
Fe2 0.8013 0.5932 0.2117
Fe3 0.4104 0.0932 0.2117
Th1 0.1825 0.4059 0.1898
Th2 0.6368 0.8337 0.4254
Th3 0.4197 0.7500 0.0000
Th4 0.8175 0.5941 0.8102
Th5 0.2115 0.6663 0.5746
Th6 0.3632 0.1663 0.5746
Th7 0.5803 0.2500 0.0000
Th8 0.7885 0.3337 0.4254
Th9 0.9927 0.0941 0.8102
Th10 0.0073 0.9059 0.1898
Fe4 0.1987 0.4068 0.7883

Computed properties:
The value obtained for the total energy is -7.8110 eV per atom. As for the space group: C2/c, No. 15.

Record 10
Th2Fe7 after structural relaxation, computed with PBE.

Lattice parameters (Å, degrees): 5.1173 5.1173 12.7355 78.41 78.41 60.00
Last column: magnetic moment on the atom in μB.
Element x y z (fractional)
Fe1 0.6088 0.1102 0.6722  2.12
Fe2 0.3912 0.3912 0.3278  2.12
Fe3 0.5000 0.0000 0.0000  2.29
Th1 0.8516 0.8516 0.4453  -0.41
Fe4 0.0000 0.5000 0.0000  2.29
Fe5 0.8898 0.3912 0.3278  2.12
Fe6 0.7217 0.7217 0.8349  2.29
Fe7 0.5000 0.5000 0.5000  1.93
Fe8 0.3878 0.3878 0.8367  2.31
Fe9 0.5000 0.5000 0.0000  2.29
Fe10 0.1102 0.6088 0.6722  2.12
Th2 0.9488 0.9488 0.1535  -0.35
Th3 0.1484 0.1484 0.5547  -0.41
Fe11 0.3912 0.8898 0.3278  2.12
Fe12 0.2783 0.2783 0.1651  2.29
Fe13 0.6088 0.6088 0.6722  2.12
Th4 0.0512 0.0512 0.8465  -0.35
Fe14 0.6122 0.6122 0.1633  2.31

Computed properties:
The value obtained for the total energy is -8.2950 eV per atom. As for the space group: R-3m, No. 166.

Record 11
Th2Fe7 after structural relaxation, computed with PBE.

Lattice parameters (Å, degrees): 5.0884 5.0884 24.7512 90.00 90.00 120.00
Last column: magnetic moment on the atom in μB.
Element x y z (fractional)
Fe1 0.6667 0.3333 0.3300  1.96
Fe2 0.1659 0.8341 0.9129  -1.95
Th1 0.6667 0.3333 0.6743  -0.14
Th2 0.6667 0.3333 0.9711  0.38
Fe3 0.0000 0.0000 0.5000  -2.10
Fe4 0.0000 0.0000 0.8291  2.03
Th3 0.3333 0.6667 0.0289  0.38
Fe5 0.6667 0.3333 0.1700  1.96
Fe6 0.8341 0.1659 0.0871  -1.95
Fe7 0.8341 0.1659 0.4129  -1.95
Fe8 0.1669 0.8331 0.7500  2.12
Fe9 0.6682 0.8341 0.9129  -1.95
Th4 0.3333 0.6667 0.1743  -0.14
Fe10 0.3333 0.6667 0.6700  1.96
Th5 0.3333 0.6667 0.3257  -0.14
Fe11 0.0000 0.0000 0.1709  2.03
Th6 0.3333 0.6667 0.4711  0.38
Fe12 0.8341 0.6682 0.4129  -1.95
Fe13 0.3337 0.1669 0.2500  2.12
Fe14 0.8331 0.6663 0.2500  2.12
Fe15 0.8341 0.6682 0.0871  -1.95
Fe16 0.1659 0.3318 0.5871  -1.95
Fe17 0.3318 0.1659 0.0871  -1.95
Fe18 0.6663 0.8331 0.7500  2.12
Fe19 0.6682 0.8341 0.5871  -1.95
Fe20 0.1669 0.3337 0.7500  2.12
Fe21 0.0000 0.0000 0.0000  -2.10
Fe22 0.3318 0.1659 0.4129  -1.95
Fe23 0.8331 0.1669 0.2500  2.12
Fe24 0.1659 0.8341 0.5871  -1.95
Fe25 0.0000 0.0000 0.6709  2.03
Th7 0.6667 0.3333 0.8257  -0.14
Fe26 0.0000 0.0000 0.3291  2.03
Fe27 0.1659 0.3318 0.9129  -1.95
Th8 0.6667 0.3333 0.5289  0.38
Fe28 0.3333 0.6667 0.8300  1.96

Computed properties:
The value obtained for the total energy is -8.2735 eV per atom. As for the space group: P6_3/mmc, No. 194.

Record 12
ThFe6 after structural relaxation, computed with PBE.

Lattice parameters (Å, degrees): 5.2200 5.2200 5.2200 109.47 109.47 109.47
Element x y z (fractional)
Fe1 0.7500 0.5000 0.2500
Fe2 0.5000 0.2500 0.7500
Th1 0.0000 0.0000 0.0000
Fe3 0.2500 0.7500 0.5000
Fe4 0.5000 0.7500 0.2500
Fe5 0.7500 0.2500 0.5000
Fe6 0.2500 0.5000 0.7500

Computed properties:
The value obtained for the total energy is -7.8226 eV per atom. As for the space group: Im-3m, No. 229.